(1)
Below is an optimized crystal structure of Zr6Rh2N, with properties calculated at the PBE-GGA level.

Cell lengths 5.9670, 6.4552, 9.1173 Å; angles 90.00, 92.10, 90.00 degrees
Closest atoms and distances in Å follow each position.
Element x y z (fractional)
Zr  0.8747  0.9794  0.2583  1 N 2.30
Zr  0.8239  0.6921  0.5538  1 N 2.31
Zr  0.8119  0.6838  0.9444  1 N 2.28
Zr  0.6881  0.1838  0.5556  1 N 2.28
Zr  0.6761  0.1921  0.9462  1 N 2.31
Zr  0.6253  0.4794  0.2417  1 N 2.30
Zr  0.1253  0.0206  0.7417  1 N 2.30
Zr  0.1761  0.3079  0.4462  1 N 2.31
Zr  0.1881  0.3162  0.0556  1 N 2.28
Zr  0.3119  0.8162  0.4444  1 N 2.28
Zr  0.3239  0.8079  0.0538  1 N 2.31
Zr  0.3747  0.5206  0.7583  1 N 2.30
Rh  0.9411  0.4001  0.7549  6 Zr 2.65-2.75
Rh  0.5589  0.9001  0.7451  6 Zr 2.65-2.75
Rh  0.4411  0.0999  0.2549  6 Zr 2.65-2.75
Rh  0.0589  0.5999  0.2451  6 Zr 2.65-2.75
N  0.5000  0.5000  0.0000  6 Zr 2.28-2.31
N  0.0000  0.0000  0.5000  6 Zr 2.28-2.31

## Properties
Mass density: 7.26 Mg/m³
Symmetry: No. 14
ΔE_f (raw): -0.72 eV per atom
D(E_F): 14.53 states/eV per cell
E_tot: -80.76 eV/f.u.

(2)
Below is an optimized crystal structure of SrAl2TeP, with properties calculated at the PBE-GGA level.

Cell lengths 4.7538, 6.1971, 4.7538 Å; angles 90.00, 90.00, 90.00 degrees
Closest atoms and distances in Å follow each position.
Element x y z (fractional)
Sr  0.5000  0.5000  0.5000  4 Te 3.36
Te  0.0000  0.5000  0.0000  2 P 3.10, 4 Sr 3.36
Al  0.0000  0.0000  0.5000  2 P 2.38
Al  0.5000  0.0000  0.0000  2 P 2.38
P  0.0000  0.0000  0.0000  4 Al 2.38

## Properties
Mass density: 3.56 Mg/m³
Symmetry: No. 123
ΔE_f (raw): -0.08 eV per atom
D(E_F): 2.59 states/eV per cell
E_tot: -18.11 eV/f.u.

(3)
Below is an optimized crystal structure of Mn2MoRh, with properties calculated at the PBE-GGA level.

Cell lengths 2.7260, 3.6904, 5.4149 Å; angles 90.00, 90.00, 90.00 degrees
Closest atoms and distances in Å follow each position.
Element x y z (fractional)
Mn  0.0000  0.0000  0.0157  6 Mn 2.57-2.73, 2 Mo 2.62-2.80, 4 Rh 2.69
Mn  0.5000  0.5000  0.2299  6 Mn 2.57-2.73, 2 Rh 2.57-2.84, 4 Mo 2.72
Mo  0.0000  0.0000  0.4994  6 Mn 2.62-2.80, 4 Rh 2.68, 2 Mo 2.73
Rh  0.5000  0.5000  0.7551  6 Mn 2.57-2.84, 4 Mo 2.68, 2 Rh 2.73

## Properties
Mass density: 9.41 Mg/m³
Symmetry: No. 25
Energy of formation: 0.008 eV/atom
D(E_F): 4.54 states/eV per cell
E_tot: -36.49 eV/f.u.

(4)
Below is an optimized crystal structure of Ce6Te5H, with properties calculated at the PBE-GGA level.

Cell lengths 7.5892, 7.6389, 7.6080 Å; angles 59.87, 80.13, 70.03 degrees
Closest atoms and distances in Å follow each position.
Element x y z (fractional)
Ce  0.7745  0.0721  0.3052  1 H 2.81, 4 Te 3.13-3.15
Ce  0.2255  0.6227  0.3052  1 H 2.81, 4 Te 3.13-3.15
Ce  0.2549  0.2271  0.0000  1 H 3.01, 5 Te 3.14-3.23
Ce  0.7451  0.7729  0.0000  1 H 3.01, 5 Te 3.14-3.23
Ce  0.7745  0.3773  0.6948  1 H 2.81, 4 Te 3.13-3.15
Ce  0.2255  0.9279  0.6948  1 H 2.81, 4 Te 3.13-3.15
Te  0.5000  0.1836  0.6328  6 Ce 3.15-3.23
Te  0.0000  0.3381  0.3239  6 Ce 3.13-3.14
Te  0.5000  0.5000  0.0000  6 Ce 3.13-3.23
Te  0.0000  0.6619  0.6761  6 Ce 3.13-3.14
Te  0.5000  0.8164  0.3672  6 Ce 3.15-3.23
H  0.0000  0.0000  0.0000  6 Ce 2.81-3.01

## Properties
Mass density: 6.85 Mg/m³
Symmetry: No. 12
D(E_F): 41.48 states/eV per cell
E_tot: -67.63 eV/f.u.

(5)
Below is an optimized crystal structure of RbRuBr2, with properties calculated at the PBE-GGA level.

Cell lengths 6.5210, 6.5210, 8.2146 Å; angles 66.61, 66.61, 90.00 degrees
Closest atoms and distances in Å follow each position.
Element x y z (fractional)
Ru  0.0000  0.0000  0.0000  4 Br 2.50
Ru  0.7500  0.2500  0.5000  4 Br 2.50
Br  0.7469  0.1250  0.2500  2 Ru 2.50
Br  0.0031  0.6250  0.2500  2 Ru 2.50
Br  0.3750  0.2531  0.7500  2 Ru 2.50
Br  0.8750  0.9969  0.7500  2 Ru 2.50
Rb  0.5000  0.5000  0.0000  4 Br 3.38
Rb  0.2500  0.7500  0.5000  4 Br 3.38

## Properties
Mass density: 3.98 Mg/m³
Symmetry: No. 122
ΔE_f (raw): -0.17 eV per atom
D(E_F): 5.18 states/eV per cell
E_tot: -14.28 eV/f.u.

(6)
Below is an optimized crystal structure of SrTc4P3, with properties calculated at the PBE-GGA level.

Cell lengths 4.0900, 4.0900, 8.3814 Å; angles 90.00, 90.00, 90.00 degrees
Closest atoms and distances in Å follow each position.
Element x y z (fractional)
Sr  0.0000  0.0000  0.5000  8 P 3.34, 8 Tc 3.53
Tc  0.5000  0.0000  0.1573  4 P 2.37-2.43, 1 Tc 2.64
Tc  0.0000  0.5000  0.1573  4 P 2.37-2.43, 1 Tc 2.64
Tc  0.5000  0.0000  0.8427  4 P 2.37-2.43, 1 Tc 2.64
Tc  0.0000  0.5000  0.8427  4 P 2.37-2.43, 1 Tc 2.64
P  0.0000  0.0000  0.0000  8 Tc 2.43
P  0.5000  0.5000  0.3002  4 Tc 2.37
P  0.5000  0.5000  0.6998  4 Tc 2.37

## Properties
Mass density: 6.78 Mg/m³
Symmetry: No. 123
Energy of formation: -0.498 eV/atom
D(E_F): 7.00 states/eV per cell
E_tot: -63.36 eV/f.u.